Material: CrMo
Method: DFT, GGA-PBE
State: relaxed

Cell lengths 6.291, 7.850, 9.514 Å; angles 90.00, 90.00, 90.00 degrees
Positions (direct):
Cr1 0.067 0.250 0.750
Cr2 0.433 0.250 0.750
Mo1 0.500 0.190 0.000
Cr3 0.817 0.500 0.500
Mo2 0.500 0.310 0.500
Cr4 0.067 0.750 0.250
Mo3 0.500 0.810 0.000
Mo4 0.250 0.060 0.250
Mo5 0.000 0.690 0.000
Cr5 0.683 0.000 0.500
Mo6 0.000 0.190 0.500
Cr6 0.933 0.250 0.250
Cr7 0.933 0.750 0.750
Cr8 0.183 0.000 0.000
Mo7 0.750 0.940 0.250
Mo8 0.250 0.440 0.250
Cr9 0.317 0.500 0.000
Cr10 0.567 0.750 0.750
Mo9 0.000 0.810 0.500
Mo10 0.750 0.060 0.750
Mo11 0.750 0.440 0.750
Cr11 0.817 0.000 0.000
Mo12 0.000 0.310 0.000
Cr12 0.433 0.750 0.250
Mo13 0.250 0.560 0.750
Mo14 0.750 0.560 0.250
Mo15 0.250 0.940 0.750
Cr13 0.683 0.500 0.000
Mo16 0.500 0.690 0.500
Cr14 0.183 0.500 0.500
Cr15 0.567 0.250 0.250
Cr16 0.317 0.000 0.500

Energy of formation from the pure elements (eV/atom): 0.683
VASP energy (eV per atom): -9.5443
M_tot (μB per cell): 0.0
Calculated density (g cm⁻³): 8.37
Crystal system: orthorhombic

***

Material: Cr2Mo3
Method: DFT, GGA-PBE
State: relaxed

Cell lengths 10.180, 10.180, 10.180 Å; angles 16.37, 16.37, 16.37 degrees
Positions (direct):
Cr1 0.398 0.398 0.398
Mo1 0.203 0.203 0.203
Cr2 0.602 0.602 0.602
Mo2 0.797 0.797 0.797
Mo3 0.000 0.000 0.000

Energy of formation from the pure elements (eV/atom): 0.397
VASP energy (eV per atom): -9.9509
M_tot (μB per cell): 0.0
Calculated density (g cm⁻³): 8.90
Crystal system: trigonal

***

Material: CrMo
Method: DFT, GGA-PBE
State: relaxed

Cell lengths 3.864, 3.864, 4.775 Å; angles 90.00, 90.00, 120.00 degrees
Positions (direct):
Mo1 0.333 0.667 0.250
Cr1 0.000 0.000 0.000
Cr2 0.000 0.000 0.500
Mo2 0.667 0.333 0.750

Energy of formation from the pure elements (eV/atom): 0.769
VASP energy (eV per atom): -9.4584
M_tot (μB per cell): 0.0
Calculated density (g cm⁻³): 7.96
Crystal system: hexagonal

***

Material: CrMo
Method: DFT, GGA-PBE
State: relaxed

Cell lengths 4.957, 4.957, 4.935 Å; angles 90.00, 90.00, 90.00 degrees
Last column: magnetic moment on the atom in μB.
Positions (direct):
Cr1 0.297 0.297 0.500  1.12
Cr2 0.797 0.203 0.000  1.12
Mo1 0.789 0.211 0.500  -0.33
Mo2 0.289 0.289 0.000  -0.33
Mo3 0.711 0.711 0.000  -0.33
Mo4 0.211 0.789 0.500  -0.33
Cr3 0.703 0.703 0.500  1.12
Cr4 0.203 0.797 0.000  1.12

Energy of formation from the pure elements (eV/atom): 0.950
VASP energy (eV per atom): -9.2773
M_tot (μB per cell): 3.3
Calculated density (g cm⁻³): 8.10
Crystal system: tetragonal

***

Material: Cr2Mo
Method: DFT, GGA-PBE
State: relaxed

Cell lengths 4.128, 4.128, 3.018 Å; angles 90.00, 90.00, 90.00 degrees
Last column: magnetic moment on the atom in μB.
Positions (direct):
Cr1 0.000 0.500 0.500  2.45
Cr2 0.500 0.000 0.500  2.45
Mo1 0.000 0.000 0.000  -0.86

Energy of formation from the pure elements (eV/atom): 1.031
VASP energy (eV per atom): -8.9952
M_tot (μB per cell): 4.5
Calculated density (g cm⁻³): 6.45
Crystal system: tetragonal

***

Material: Cr5Mo
Method: DFT, GGA-PBE
State: relaxed

Cell lengths 2.917, 4.820, 5.839 Å; angles 72.46, 90.00, 72.38 degrees
Positions (direct):
Cr1 0.638 0.723 0.285
Cr2 0.306 0.389 0.611
Cr3 0.977 0.047 0.453
Cr4 0.973 0.054 0.937
Cr5 0.634 0.731 0.770
Mo1 0.306 0.389 0.111

Energy of formation from the pure elements (eV/atom): 0.051
VASP energy (eV per atom): -9.7740
M_tot (μB per cell): 0.0
Calculated density (g cm⁻³): 7.96
Crystal system: monoclinic

***

Material: CrMo
Method: DFT, GGA-PBE
State: relaxed

Cell lengths 2.909, 2.909, 7.808 Å; angles 90.00, 90.00, 120.00 degrees
Positions (direct):
Mo1 0.000 0.000 0.000
Cr1 0.333 0.667 0.250
Cr2 0.667 0.333 0.750
Mo2 0.000 0.000 0.500

Energy of formation from the pure elements (eV/atom): 0.457
VASP energy (eV per atom): -9.7707
M_tot (μB per cell): 0.0
Calculated density (g cm⁻³): 8.58
Crystal system: hexagonal

***

Material: CrMo
Method: DFT, GGA-PBE
State: relaxed

Cell lengths 7.756, 7.756, 7.756 Å; angles 90.00, 90.00, 90.00 degrees
Last column: magnetic moment on the atom in μB.
Positions (direct):
Mo1 0.871 0.871 0.871  -0.65
Cr1 0.326 0.674 0.326  2.13
Cr2 0.826 0.174 0.826  2.13
Mo2 0.371 0.629 0.629  -0.65
Cr3 0.174 0.174 0.174  2.13
Cr4 0.826 0.826 0.174  2.13
Mo3 0.629 0.371 0.629  -0.65
Mo4 0.371 0.371 0.371  -0.65
Mo5 0.129 0.129 0.871  -0.65
Mo6 0.629 0.629 0.371  -0.65
Mo7 0.871 0.129 0.129  -0.65
Cr5 0.674 0.674 0.674  2.13
Cr6 0.326 0.326 0.674  2.13
Mo8 0.129 0.871 0.129  -0.65
Cr7 0.174 0.826 0.826  2.13
Cr8 0.674 0.326 0.326  2.13

Energy of formation from the pure elements (eV/atom): 2.141
VASP energy (eV per atom): -8.0867
M_tot (μB per cell): 13.0
Calculated density (g cm⁻³): 4.21
Crystal system: cubic

***

Material: Cr2Mo
Method: DFT, GGA-PBE
State: relaxed

Cell lengths 4.813, 4.813, 4.813 Å; angles 108.29, 108.29, 111.86 degrees
Positions (direct):
Cr1 0.853 0.353 0.206
Cr2 0.147 0.647 0.794
Mo1 0.750 0.750 0.000
Cr3 0.647 0.853 0.500
Cr4 0.353 0.147 0.500
Mo2 0.250 0.250 0.000

Energy of formation from the pure elements (eV/atom): 0.780
VASP energy (eV per atom): -9.2462
M_tot (μB per cell): 0.0
Calculated density (g cm⁻³): 7.74
Crystal system: tetragonal

***

Material: Cr7Mo
Method: DFT, GGA-PBE
State: relaxed

Cell lengths 5.799, 5.799, 5.799 Å; angles 89.86, 89.86, 89.86 degrees
Positions (direct):
Cr1 0.503 0.998 0.503
Cr2 0.247 0.247 0.752
Cr3 0.997 0.997 0.503
Cr4 0.998 0.503 0.503
Mo1 0.504 0.504 0.504
Cr5 0.753 0.753 0.753
Cr6 0.753 0.247 0.753
Cr7 0.503 0.503 0.998
Cr8 0.247 0.752 0.247
Cr9 0.997 0.997 0.997
Cr10 0.752 0.247 0.247
Cr11 0.247 0.753 0.753
Mo2 0.246 0.246 0.246
Cr12 0.503 0.997 0.997
Cr13 0.997 0.503 0.997
Cr14 0.753 0.753 0.247

Energy of formation from the pure elements (eV/atom): 0.042
VASP energy (eV per atom): -9.7324
M_tot (μB per cell): 0.0
Calculated density (g cm⁻³): 7.83
Crystal system: trigonal

***

Material: Cr2Mo
Method: DFT, GGA-PBE
State: relaxed

Cell lengths 4.176, 4.176, 2.608 Å; angles 90.00, 90.00, 120.00 degrees
Positions (direct):
Cr1 0.667 0.333 0.663
Mo1 0.000 0.000 0.000
Cr2 0.333 0.667 0.337

Energy of formation from the pure elements (eV/atom): 0.073
VASP energy (eV per atom): -9.9525
M_tot (μB per cell): 0.0
Calculated density (g cm⁻³): 8.43
Crystal system: trigonal

***

Material: Cr3Mo
Method: DFT, GGA-PBE
State: relaxed

Cell lengths 2.600, 2.600, 8.994 Å; angles 90.00, 90.00, 120.00 degrees
Positions (direct):
Cr1 0.000 0.000 0.013
Cr2 0.333 0.667 0.250
Cr3 0.000 0.000 0.487
Mo1 0.333 0.667 0.750

Energy of formation from the pure elements (eV/atom): 0.501
VASP energy (eV per atom): -9.4243
M_tot (μB per cell): 0.0
Calculated density (g cm⁻³): 7.95
Crystal system: hexagonal